Record 1
The following is a PBE calculation of a geometry-optimized Li2Cd8Au structure, from Alexandria via LeMat-Bulk.

a b c (Å): 4.456 4.456 11.941
angles (deg): 90.00 90.00 90.00
Atoms (fractional coordinates):
1 Li 0.000 0.000 0.177
2 Li 0.000 0.000 0.823
3 Cd 0.000 0.500 0.000
4 Cd 0.000 0.500 0.354
5 Cd 0.000 0.500 0.646
6 Cd 0.500 0.000 0.000
7 Cd 0.500 0.000 0.354
8 Cd 0.500 0.000 0.646
9 Cd 0.500 0.500 0.178
10 Cd 0.500 0.500 0.822
11 Au 0.000 0.000 0.500

Properties
VASP energy (eV/atom): -1.477
Calculated formation energy (eV/f.u.): -1.82
Fermi-level density of states (states/eV/atom): 0.25
E above lowest polymorph (meV per atom): 0
Total moment (μB/f.u.): 0.0

---

Record 2
The following is a PBE calculation of a geometry-optimized LiCd5Au6 structure, from Alexandria via LeMat-Bulk.

a b c (Å): 8.035 8.035 4.810
angles (deg): 100.25 100.25 48.16
Atoms (fractional coordinates):
1 Li 0.000 0.000 0.000
2 Cd 0.172 0.172 0.705
3 Cd 0.333 0.333 0.305
4 Cd 0.500 0.500 0.000
5 Cd 0.667 0.667 0.695
6 Cd 0.828 0.828 0.295
7 Au 0.081 0.603 0.806
8 Au 0.233 0.767 0.500
9 Au 0.397 0.919 0.194
10 Au 0.603 0.081 0.806
11 Au 0.767 0.233 0.500
12 Au 0.919 0.397 0.194

Properties
VASP energy (eV/atom): -2.425
Calculated formation energy (eV/f.u.): -2.95
Fermi-level density of states (states/eV/atom): 0.20
E above lowest polymorph (meV per atom): 0
Total moment (μB/f.u.): 0.0

---

Record 3
The following is a PBE calculation of a geometry-optimized LiCd4Au structure, from Alexandria via LeMat-Bulk.

a b c (Å): 11.894 4.489 4.466
angles (deg): 90.00 90.38 90.00
Atoms (fractional coordinates):
1 Li 0.000 0.000 0.000
2 Li 0.500 0.500 0.000
3 Cd 0.156 0.000 0.501
4 Cd 0.160 0.500 0.000
5 Cd 0.340 0.000 0.000
6 Cd 0.344 0.500 0.499
7 Cd 0.656 0.500 0.501
8 Cd 0.660 0.000 0.000
9 Cd 0.840 0.500 0.000
10 Cd 0.844 0.000 0.499
11 Au 0.000 0.500 0.500
12 Au 0.500 0.000 0.500

Properties
VASP energy (eV/atom): -1.679
Calculated formation energy (eV/f.u.): -1.23
Fermi-level density of states (states/eV/atom): 0.29
E above lowest polymorph (meV per atom): 0
Total moment (μB/f.u.): 0.0

---

Record 4
The following is a PBE calculation of a geometry-optimized Li8Cd2Au structure, from Alexandria via LeMat-Bulk.

a b c (Å): 5.997 5.997 7.128
angles (deg): 105.27 105.27 53.22
Atoms (fractional coordinates):
1 Li 0.162 0.691 0.813
2 Li 0.239 0.239 0.546
3 Li 0.309 0.838 0.187
4 Li 0.391 0.391 0.317
5 Li 0.609 0.609 0.683
6 Li 0.691 0.162 0.813
7 Li 0.761 0.761 0.454
8 Li 0.838 0.309 0.187
9 Cd 0.194 0.194 0.909
10 Cd 0.806 0.806 0.091
11 Au 0.000 0.000 0.500

Properties
VASP energy (eV/atom): -2.020
Calculated formation energy (eV/f.u.): -1.80
Fermi-level density of states (states/eV/atom): 0.42
E above lowest polymorph (meV per atom): 89
Total moment (μB/f.u.): 0.0